The following is a PBE calculation of an optimized crystal structure of Tb4InRh5, from Alexandria.

Values from the calculation:
* total magnetization: 0.00 μB/f.u.
* space-group type: P4/mmm
* volume: 19.7 Å³/atom
* E: -65.6 eV/cell
* E_form: -0.76 eV/atom

Lattice parameters (Å, degrees): 3.4432 3.4432 16.5877 90.00 90.00 90.00
Sites, in units of the cell vectors:
Tb 0.0000 0.0000 0.1024
Tb 0.0000 0.0000 0.3077
Tb 0.0000 0.0000 0.6923
Tb 0.0000 0.0000 0.8976
In 0.0000 0.0000 0.5000
Rh 0.5000 0.5000 0.0000
Rh 0.5000 0.5000 0.2045
Rh 0.5000 0.5000 0.4093
Rh 0.5000 0.5000 0.5907
Rh 0.5000 0.5000 0.7955

The following is a PBE calculation of an optimized crystal structure of TbPm3Sc, from Alexandria.

Values from the calculation:
* total magnetization: 0.00 μB/f.u.
* energy above the most stable polymorph in this dataset: 0.73 eV per formula unit
* space-group type: Pbcm
* volume: 33.2 Å³/atom
* E: -96.4 eV/cell
* E_form: 0.22 eV/atom

Lattice parameters (Å, degrees): 5.5857 11.8158 10.0462 90.00 90.00 90.00
Sites, in units of the cell vectors:
Tb 0.2496 0.0620 0.2500
Tb 0.2496 0.4380 0.7500
Tb 0.7504 0.5620 0.2500
Tb 0.7504 0.9380 0.7500
Pm 0.2486 0.2500 0.0000
Pm 0.2486 0.2500 0.5000
Pm 0.2504 0.5576 0.0632
Pm 0.2504 0.5576 0.4368
Pm 0.2504 0.9424 0.5632
Pm 0.2504 0.9424 0.9368
Pm 0.7496 0.0576 0.0632
Pm 0.7496 0.0576 0.4368
Pm 0.7496 0.4424 0.5632
Pm 0.7496 0.4424 0.9368
Pm 0.7514 0.7500 0.0000
Pm 0.7514 0.7500 0.5000
Sc 0.2519 0.7114 0.7500
Sc 0.2519 0.7886 0.2500
Sc 0.7481 0.2114 0.7500
Sc 0.7481 0.2886 0.2500

The following is a PBE calculation of an optimized crystal structure of PrThNiOs, from Alexandria.

Values from the calculation:
* total magnetization: 0.00 μB/f.u.
* space-group type: F-43m
* volume: 22.1 Å³/atom
* E: -29.8 eV/cell
* E_form: -0.15 eV/atom

Lattice parameters (Å, degrees): 5.0022 5.0022 5.0022 60.00 60.00 60.00
Sites, in units of the cell vectors:
Pr 0.0000 0.0000 0.0000
Th 0.5000 0.5000 0.5000
Ni 0.7500 0.7500 0.7500
Os 0.2500 0.2500 0.2500

The following is a PBE calculation of an optimized crystal structure of Cs2CoGeSe4, from Alexandria.

Values from the calculation:
* total magnetization: 3.00 μB/f.u.
* formation energy without anion corrections: -0.68 eV per atom
* space-group type: Fddd
* volume: 36.2 Å³/atom
* E: -65.6 eV/cell

Lattice parameters (Å, degrees): 14.7152 13.2449 7.8053 84.50 63.63 31.87
Sites, in units of the cell vectors:
Cs 0.0545 0.0545 0.6955
Cs 0.3045 0.3045 0.9455
Cs 0.6955 0.6955 0.0545
Cs 0.9455 0.9455 0.3045
Co 0.1250 0.1250 0.1250
Co 0.8750 0.8750 0.8750
Ge 0.3750 0.3750 0.3750
Ge 0.6250 0.6250 0.6250
Se 0.0123 0.3380 0.4189
Se 0.2691 0.5811 0.6620
Se 0.3380 0.0123 0.7309
Se 0.4189 0.7309 0.0123
Se 0.5811 0.2691 0.9877
Se 0.6620 0.9877 0.2691
Se 0.7309 0.4189 0.3380
Se 0.9877 0.6620 0.5811

The following is a PBE calculation of an optimized crystal structure of NiSeSN, from Alexandria.

Values from the calculation:
* total magnetization: 0.00 μB/f.u.
* energy above the most stable polymorph in this dataset: 0.76 eV per formula unit
* formation energy without anion corrections: 0.39 eV per atom
* space-group type: P1
* volume: 16.1 Å³/atom
* E: -20.1 eV/cell

Lattice parameters (Å, degrees): 3.5751 3.5791 5.2701 91.35 105.10 97.16
Sites, in units of the cell vectors:
Ni 0.0000 0.0000 0.0000
Se 0.8738 0.6840 0.3681
S 0.3810 0.0282 0.7321
N 0.0913 0.5173 0.1231

The following is a PBE calculation of an optimized crystal structure of CoSiSe2, from Alexandria.

Values from the calculation:
* total magnetization: 0.00 μB/f.u.
* formation energy without anion corrections: -0.26 eV per atom
* space-group type: Cm
* volume: 20.6 Å³/atom
* E: -20.5 eV/cell

Lattice parameters (Å, degrees): 3.8883 3.8883 6.8646 92.80 92.80 52.58
Sites, in units of the cell vectors:
Co 0.0000 0.0000 0.0000
Si 0.7007 0.7007 0.8801
Se 0.0859 0.0859 0.6651
Se 0.3359 0.3359 0.1685